## Li4AcCr3O12 (GGA+U)

Data for an optimized crystal structure of Li4AcCr3O12.

Properties
* crystal system: cubic
* uncorrected energy: -243.0 eV per cell

Cell lengths 7.527, 7.527, 7.527 Å; angles 90.00, 90.00, 90.00 degrees
Space group Im-3 (No. 204)
Symmetry-distinct sites (fractional):
Li1 0.250 0.250 0.250 (multiplicity 8)
Ac1 0.000 0.000 0.000 (multiplicity 2)
Cr1 0.000 0.000 0.500 (multiplicity 6)
O1 0.000 0.163 0.325 (multiplicity 24)